{
  "formula": "ZrReAsO",
  "functional": "PBE",
  "state": "optimized geometry",
  "density_g_cm3": 10.3,
  "m_tot_mub_per_cell": 0.0,
  "polymorph_energy_ev_per_fu": 0.000,
  "final_energy_ev_per_atom": -8.800,
  "lattice": [[4.120, 0.000, 0.000], [0.000, 4.120, 0.000], [0.000, 0.000, 6.974]],
  "species": ["Zr", "Zr", "Re", "Re", "O", "As", "O", "As"],
  "fractional_positions": [[0.500, 0.000, 0.130], [0.000, 0.500, 0.870], [0.500, 0.500, 0.500], [0.000, 0.000, 0.500], [0.500, 0.500, 0.000], [0.000, 0.500, 0.303], [0.000, 0.000, 0.000], [0.500, 0.000, 0.697]]
}